[1]
LaPr5Er4 after structural relaxation. Source: Alexandria via LeMat-Bulk, functional PBE.

a = 3.6582 Å, b = 3.6582 Å, c = 25.4129 Å
α = 90.00°, β = 90.00°, γ = 90.00°
With the nearest neighbours (Å) after each atom.
Space group P4/mmm (No. 123)
Asymmetric unit:
1 La 0.0000 0.0000 0.0000 [1 per cell]  4 La 3.66, 8 Pr 3.73
2 Pr 0.5000 0.5000 0.1055 [2 per cell]  4 Er 3.61, 4 Pr 3.66, 4 La 3.73
3 Pr 0.5000 0.5000 0.3033 [2 per cell]  8 Er 3.60, 4 Pr 3.66
4 Pr 0.5000 0.5000 0.5000 [1 per cell]  8 Er 3.60, 4 Pr 3.66
5 Er 0.0000 0.0000 0.2048 [2 per cell]  8 Pr 3.60-3.61, 4 Er 3.66
6 Er 0.0000 0.0000 0.4016 [2 per cell]  8 Pr 3.60, 4 Er 3.66

Summary:
E_form (kJ/mol of atoms): 2

[2]
AsPdPbSe2 after structural relaxation. Source: Alexandria via LeMat-Bulk, functional PBE.

a = 5.2493 Å, b = 5.2493 Å, c = 4.6309 Å
α = 90.00°, β = 90.00°, γ = 90.00°
With the nearest neighbours (Å) after each atom.
Space group P4/mmm (No. 123)
Asymmetric unit:
1 As 0.0000 0.0000 0.0000 [1 per cell]  2 Pd 2.32
2 Pd 0.0000 0.0000 0.5000 [1 per cell]  2 As 2.32
3 Pb 0.5000 0.5000 0.0000 [1 per cell]  8 Se 3.50, 4 As 3.71
4 Se 0.0000 0.5000 0.5000 [2 per cell]  2 Pd 2.62

Summary:
Polymorph energy (0 for the lowest one) (eV per atom): 0.000
ΔE_f (raw) (eV per atom): 0.120

[3]
Np2Be3SiPt4 after structural relaxation. Source: Alexandria via LeMat-Bulk, functional PBE.

a = 4.0647 Å, b = 4.0647 Å, c = 9.6458 Å
α = 90.00°, β = 90.00°, γ = 90.00°
With the nearest neighbours (Å) after each atom.
Space group P-4m2 (No. 115)
Asymmetric unit:
1 Np 0.0000 0.5000 0.2486 [2 per cell]  8 Pt 3.08-3.16, 6 Be 3.13-3.14, 2 Si 3.14
2 Be 0.0000 0.0000 0.0000 [1 per cell]  4 Pt 2.41
3 Be 0.0000 0.5000 0.6227 [2 per cell]  5 Pt 2.34-2.35
4 Si 0.5000 0.5000 0.0000 [1 per cell]  4 Pt 2.41
5 Pt 0.0000 0.0000 0.5000 [1 per cell]  4 Be 2.35
6 Pt 0.0000 0.5000 0.8652 [2 per cell]  3 Be 2.34-2.41, 2 Si 2.41
7 Pt 0.5000 0.5000 0.5000 [1 per cell]  4 Be 2.35

Summary:
ΔE_f (raw) (eV per atom): -0.621

[4]
TlCuRu2 after structural relaxation. Source: Alexandria via LeMat-Bulk, functional PBE.

a = 2.8438 Å, b = 4.5017 Å, c = 5.0347 Å
α = 90.00°, β = 94.69°, γ = 90.00°
With the nearest neighbours (Å) after each atom.
Space group P2/m (No. 10)
Asymmetric unit:
1 Tl 0.0000 0.0000 0.0000 [1 per cell]  4 Cu 2.79-2.99, 4 Ru 2.81, 2 Tl 2.84
2 Cu 0.5000 0.0000 0.5000 [1 per cell]  4 Ru 2.61, 2 Tl 2.79, 2 Cu 2.84
3 Ru 0.2664 0.5000 0.7153 [2 per cell]  4 Ru 2.54-2.84, 2 Cu 2.61, 2 Tl 2.81

Summary:
Polymorph energy (0 for the lowest one) (eV per atom): 0.213
E_form (kJ/mol of atoms): 57

[5]
ScFe2Mo after structural relaxation. Source: Alexandria via LeMat-Bulk, functional PBE.

a = 6.1016 Å, b = 6.1016 Å, c = 6.1016 Å
α = 90.00°, β = 90.00°, γ = 90.00°
With the nearest neighbours (Å) after each atom.
Space group F-43m (No. 216)
Asymmetric unit:
1 Sc 0.0000 0.0000 0.0000 [4 per cell]  4 Fe 2.64, 4 Mo 2.64
2 Fe 0.0000 0.0000 0.5000 [4 per cell]  4 Mo 2.64, 4 Fe 2.64
3 Fe 0.2500 0.2500 0.7500 [4 per cell]  4 Fe 2.64, 4 Sc 2.64
4 Mo 0.2500 0.2500 0.2500 [4 per cell]  4 Fe 2.64, 4 Sc 2.64

Summary:
E_form (kJ/mol of atoms): 15

[6]
AgAsRhO6 after structural relaxation. Source: Alexandria via LeMat-Bulk, functional PBE.

a = 5.0939 Å, b = 5.0939 Å, c = 9.4596 Å
α = 90.00°, β = 90.00°, γ = 120.00°
With the nearest neighbours (Å) after each atom.
Space group P-31c (No. 163)
Asymmetric unit:
1 Ag 0.0000 0.0000 0.0000 [2 per cell]  6 O 2.31
2 As 0.3333 0.6667 0.2500 [2 per cell]  6 O 1.88
3 Rh 0.3333 0.6667 0.7500 [2 per cell]  6 O 1.97
4 O 0.0135 0.3816 0.1376 [12 per cell]  1 As 1.88, 1 Rh 1.97

Summary:
ΔE_f (raw) (eV per atom): -0.658

[7]
K2LaW after structural relaxation. Source: Alexandria via LeMat-Bulk, functional PBE.

a = 9.6613 Å, b = 3.1835 Å, c = 10.1705 Å
α = 90.00°, β = 92.54°, γ = 90.00°
With the nearest neighbours (Å) after each atom.
Space group Cm (No. 8)
Asymmetric unit:
1 K 0.0000 0.0000 0.0000 [2 per cell]  2 K 3.18
2 K 0.2336 0.0000 0.6207 [2 per cell]  2 K 3.18
3 La 0.2620 0.5000 0.2772 [2 per cell]  3 W 2.70-2.89
4 W 0.9998 0.5000 0.3592 [2 per cell]  3 La 2.70-2.89

Summary:
Polymorph energy (0 for the lowest one) (eV per atom): 0.137
E_form (kJ/mol of atoms): 100

[8]
SrCa2Ta after structural relaxation. Source: Alexandria via LeMat-Bulk, functional PBE.

a = 8.0681 Å, b = 8.0681 Å, c = 8.0681 Å
α = 90.00°, β = 90.00°, γ = 90.00°
With the nearest neighbours (Å) after each atom.
Space group Fm-3m (No. 225)
Asymmetric unit:
1 Sr 0.0000 0.0000 0.0000 [4 per cell]  8 Ca 3.49
2 Ca 0.2500 0.2500 0.2500 [8 per cell]  4 Ta 3.49, 4 Sr 3.49
3 Ta 0.0000 0.0000 0.5000 [4 per cell]  8 Ca 3.49

Summary:
Polymorph energy (0 for the lowest one) (eV per atom): 0.196
E_form (kJ/mol of atoms): 79

[9]
TaTlInH2 after structural relaxation. Source: Alexandria via LeMat-Bulk, functional PBE.

a = 4.0246 Å, b = 4.0246 Å, c = 5.6377 Å
α = 90.00°, β = 90.00°, γ = 90.00°
With the nearest neighbours (Å) after each atom.
Space group P4/mmm (No. 123)
Asymmetric unit:
1 Ta 0.0000 0.0000 0.0000 [1 per cell]  4 H 2.01
2 Tl 0.5000 0.5000 0.5000 [1 per cell]  4 In 2.85
3 In 0.0000 0.0000 0.5000 [1 per cell]  2 Ta 2.82, 4 Tl 2.85
4 H 0.0000 0.5000 0.0000 [2 per cell]  2 Ta 2.01

Summary:
Total DFT energy (no corrections) (eV per atom): -4.10

[10]
Ce4CoOsBr2 after structural relaxation. Source: Alexandria via LeMat-Bulk, functional PBE.

a = 6.9214 Å, b = 4.0154 Å, c = 8.0019 Å
α = 90.00°, β = 106.98°, γ = 90.00°
With the nearest neighbours (Å) after each atom.
Space group P2/m (No. 10)
Asymmetric unit:
1 Ce 0.2241 0.0000 0.1902 [2 per cell]  2 Co 2.72, 1 Os 2.77
2 Ce 0.2648 0.5000 0.8035 [2 per cell]  1 Co 2.74, 2 Os 2.77
3 Co 0.0000 0.5000 0.0000 [1 per cell]  6 Ce 2.72-2.74
4 Os 0.5000 0.0000 0.0000 [1 per cell]  6 Ce 2.77
5 Br 0.0000 0.0000 0.5000 [1 per cell]  6 Ce 3.27-3.29
6 Br 0.5000 0.5000 0.5000 [1 per cell]  6 Ce 3.30-3.33

Summary:
ΔE_f (raw) (eV per atom): -0.735

[11]
HoTmSnPd after structural relaxation. Source: Alexandria via LeMat-Bulk, functional PBE.

a = 7.2304 Å, b = 7.2304 Å, c = 7.2304 Å
α = 90.00°, β = 90.00°, γ = 90.00°
With the nearest neighbours (Å) after each atom.
Space group F-43m (No. 216)
Asymmetric unit:
1 Ho 0.0000 0.0000 0.0000 [4 per cell]  4 Pd 3.13, 4 Sn 3.13
2 Tm 0.0000 0.0000 0.5000 [4 per cell]  4 Sn 3.13, 4 Pd 3.13
3 Sn 0.2500 0.2500 0.7500 [4 per cell]  4 Ho 3.13, 4 Tm 3.13
4 Pd 0.2500 0.2500 0.2500 [4 per cell]  4 Tm 3.13, 4 Ho 3.13

Summary:
E_form (kJ/mol of atoms): -72

[12]
ErMnVSi2 after structural relaxation. Source: Alexandria via LeMat-Bulk, functional PBE.

a = 3.8652 Å, b = 3.8652 Å, c = 10.7088 Å
α = 90.00°, β = 90.00°, γ = 90.00°
With the nearest neighbours (Å) after each atom.
Space group I-4m2 (No. 119)
Asymmetric unit:
1 Er 0.0000 0.0000 0.0000 [2 per cell]  8 Si 2.99, 4 Mn 3.30, 4 V 3.30
2 Mn 0.0000 0.5000 0.7500 [2 per cell]  4 Si 2.43
3 V 0.0000 0.5000 0.2500 [2 per cell]  4 Si 2.43
4 Si 0.0000 0.0000 0.3878 [4 per cell]  1 Si 2.40, 2 Mn 2.43, 2 V 2.43

Summary:
ΔE_f (raw) (eV per atom): -0.592

[13]
Cr3CuSe after structural relaxation. Source: Alexandria via LeMat-Bulk, functional PBE.

a = 4.6578 Å, b = 4.6578 Å, c = 4.6578 Å
α = 90.00°, β = 90.00°, γ = 90.00°
With the nearest neighbours (Å) after each atom.
Space group Pm-3m (No. 221)
Asymmetric unit:
1 Cr 0.0000 0.0000 0.5000 [3 per cell]  2 Cu 2.33
2 Cu 0.0000 0.0000 0.0000 [1 per cell]  6 Cr 2.33
3 Se 0.5000 0.5000 0.5000 [1 per cell]  12 Cr 3.29

Summary:
Polymorph energy (0 for the lowest one) (eV per atom): 0.000
ΔE_f (raw) (eV per atom): 1.118

[14]
AcPaAs2 after structural relaxation. Source: Alexandria via LeMat-Bulk, functional PBE.

a = 4.1915 Å, b = 4.1915 Å, c = 22.4536 Å
α = 90.00°, β = 90.00°, γ = 120.00°
With the nearest neighbours (Å) after each atom.
Space group R3m (No. 160, hexagonal axes)
Asymmetric unit:
1 Ac 0.0000 0.0000 0.0000 [3 per cell]  6 As 3.13-3.30
2 Pa 0.0000 0.0000 0.1751 [3 per cell]  6 As 2.88-2.95
3 As 0.0000 0.0000 0.5779 [3 per cell]  3 Pa 2.88, 3 Ac 3.13
4 As 0.0000 0.0000 0.7665 [3 per cell]  3 Pa 2.95, 3 Ac 3.30

Summary:
Polymorph energy (0 for the lowest one) (eV per atom): 0.119
E_form (kJ/mol of atoms): -106

[15]
In2FeTc after structural relaxation. Source: Alexandria via LeMat-Bulk, functional PBE.

a = 3.0123 Å, b = 3.0123 Å, c = 26.6312 Å
α = 90.00°, β = 90.00°, γ = 120.00°
With the nearest neighbours (Å) after each atom.
Space group R-3m (No. 166, hexagonal axes)
Asymmetric unit:
1 In 0.0000 0.0000 0.2489 [6 per cell]  3 Fe 2.80, 3 Tc 2.84, 6 In 3.01
2 Fe 0.0000 0.0000 0.5000 [3 per cell]  6 In 2.80, 6 Fe 3.01
3 Tc 0.0000 0.0000 0.0000 [3 per cell]  6 In 2.84, 6 Tc 3.01

Summary:
Polymorph energy (0 for the lowest one) (eV per atom): 0.194
E_form (kJ/mol of atoms): 40

[16]
AcPrI2 after structural relaxation. Source: Alexandria via LeMat-Bulk, functional PBE.

a = 4.0252 Å, b = 4.0252 Å, c = 30.3056 Å
α = 90.00°, β = 90.00°, γ = 120.00°
With the nearest neighbours (Å) after each atom.
Space group R3m (No. 160, hexagonal axes)
Asymmetric unit:
1 Ac 0.0000 0.0000 0.0000 [3 per cell]  6 I 3.50-3.58
2 Pr 0.0000 0.0000 0.1636 [3 per cell]  6 I 3.30-3.35
3 I 0.0000 0.0000 0.4198 [3 per cell]  3 Pr 3.30, 3 Ac 3.50
4 I 0.0000 0.0000 0.5766 [3 per cell]  3 Pr 3.35, 3 Ac 3.58

Summary:
Polymorph energy (0 for the lowest one) (eV per atom): 0.000
ΔE_f (raw) (eV per atom): -0.922

[17]
CaYEr4Se8 after structural relaxation. Source: Alexandria via LeMat-Bulk, functional PBE.

a = 8.4009 Å, b = 8.4009 Å, c = 20.6329 Å
α = 90.00°, β = 90.00°, γ = 120.00°
With the nearest neighbours (Å) after each atom.
Space group R3m (No. 160, hexagonal axes)
Asymmetric unit:
1 Ca 0.0000 0.0000 0.0000 [3 per cell]  4 Se 2.78-2.79
2 Y 0.0000 0.0000 0.6276 [3 per cell]  6 Se 2.85-2.93
3 Er 0.0000 0.0000 0.2507 [3 per cell]  4 Se 2.73-2.74
4 Er 0.1695 0.3390 0.4580 [9 per cell]  6 Se 2.82-2.91
5 Se 0.0000 0.0000 0.3834 [3 per cell]  4 Er 2.74-2.91
6 Se 0.0000 0.0000 0.8649 [3 per cell]  1 Ca 2.79, 3 Er 2.83
7 Se 0.0257 0.5129 0.3799 [9 per cell]  1 Ca 2.78, 2 Er 2.82, 1 Y 2.85
8 Se 0.1762 0.3524 0.2054 [9 per cell]  3 Er 2.73-2.91, 1 Y 2.93

Summary:
ΔE_f (raw) (eV per atom): -1.790

[18]
SrRuCl2 after structural relaxation. Source: Alexandria via LeMat-Bulk, functional PBE.

a = 3.7357 Å, b = 5.0746 Å, c = 10.2606 Å
α = 90.00°, β = 90.00°, γ = 90.00°
With the nearest neighbours (Å) after each atom.
Space group Immm (No. 71)
Asymmetric unit:
1 Sr 0.0000 0.0000 0.0000 [2 per cell]  4 Cl 2.99, 4 Ru 3.15
2 Ru 0.0000 0.0000 0.5000 [2 per cell]  4 Cl 2.44
3 Cl 0.0000 0.5000 0.1536 [4 per cell]  2 Ru 2.44

Summary:
Polymorph energy (0 for the lowest one) (eV per atom): 0.000
ΔE_f (raw) (eV per atom): -0.740

[19]
Pm4IrSe3 after structural relaxation. Source: Alexandria via LeMat-Bulk, functional PBE.

a = 8.5744 Å, b = 11.9725 Å, c = 4.1390 Å
α = 90.00°, β = 90.00°, γ = 90.00°
With the nearest neighbours (Å) after each atom.
Space group Cmmm (No. 65)
Asymmetric unit:
1 Pm 0.0000 0.2413 0.0000 [4 per cell]  1 Ir 2.89, 5 Se 2.98-3.10
2 Pm 0.2291 0.0000 0.5000 [4 per cell]  2 Ir 2.85, 4 Se 3.00-3.11
3 Ir 0.0000 0.0000 0.0000 [2 per cell]  6 Pm 2.85-2.89
4 Se 0.0000 0.5000 0.0000 [2 per cell]  6 Pm 3.10-3.11
5 Se 0.2500 0.2500 0.5000 [4 per cell]  6 Pm 2.98-3.00

Summary:
ΔE_f (raw) (eV per atom): -1.542